1.
NaIn5Pb3: optimized geometry, PBE-GGA.

Cell lengths 12.3091, 8.5271, 11.2622 Å; angles 90.00, 95.66, 90.00 degrees
Space group C2/m (No. 12)
One atom of each set of equivalent atoms:
Na1 0.1278 0.0000 0.2668 [4 per cell]
In1 0.0000 0.3319 0.0000 [4 per cell]
In2 0.0345 0.5000 0.6376 [4 per cell]
In3 0.1201 0.1985 0.7522 [8 per cell]
In4 0.2242 0.5000 0.9373 [4 per cell]
Pb1 0.0000 0.0000 0.0000 [2 per cell]
Pb2 0.0000 0.0000 0.5000 [2 per cell]
Pb3 0.1633 0.5000 0.2069 [4 per cell]
Pb4 0.2364 0.5000 0.4787 [4 per cell]

Calculated total energy in eV/atom: -2.761

---

2.
NaInPb: optimized geometry, PBE-GGA.

Cell lengths 5.0441, 5.0441, 8.0974 Å; angles 90.00, 90.00, 120.00 degrees
Space group P6_3mc (No. 186)
One atom of each set of equivalent atoms:
Na1 0.0000 0.0000 0.0000 [2 per cell]
In1 0.3333 0.6667 0.3093 [2 per cell]
Pb1 0.3333 0.6667 0.6968 [2 per cell]

Calculated total energy in eV/atom: -2.696